A geometry-optimized TcW2F structure. Source: Alexandria via LeMat-Bulk, functional PBE+U.

Calculated values
As for the density of states at the Fermi level: 0.522 states/eV/atom. The total DFT energy (no corrections) is -24.0 eV per cell.

Lattice parameters (Å, degrees): 4.514 4.514 4.514 60.00 60.00 60.00
Positions (direct):
Tc  0.500  0.500  0.500
W  0.250  0.250  0.250
W  0.750  0.750  0.750
F  0.000  0.000  0.000